## Li2NiOs (PBE)

Data for Li2NiOs after structural relaxation.

Unit cell a=8.7211 b=2.5133 c=4.7800 alpha=90.00 beta=97.80 gamma=90.00
Last column: nearest neighbours and their distance in Å.
Space group Cm (No. 8)
One atom of each set of equivalent atoms:
Li1 0.0000 0.0000 0.0000 x2  5 Li 2.38-2.66, 2 Ni 2.60
Li2 0.2382 0.0000 0.8106 x2  5 Li 2.38-2.66, 2 Os 2.66
Ni1 0.0034 0.5000 0.4772 x2  3 Os 2.44-2.49, 2 Ni 2.51, 4 Li 2.60-2.72
Os1 0.2597 0.5000 0.3278 x2  3 Ni 2.44-2.49, 2 Os 2.51, 2 Li 2.66

DFT total energy, eV/cell: -40.75
Offset from the most stable computed form, meV per atom: 67
Volume, Å³ per cell: 103.8